The following is a PBE calculation of a geometry-optimized CuPdW2 structure, from Alexandria.

a = 4.403 Å, b = 4.403 Å, c = 4.403 Å
α = 60.00°, β = 60.00°, γ = 60.00°
Element x y z (fractional)
Cu  0.000  0.000  0.000
Pd  0.500  0.500  0.500
W  0.250  0.250  0.250
W  0.750  0.750  0.750

size of the total moment: 0.000 μB/f.u.
crystal system: cubic
ΔE to the lowest computed polymorph: 0 meV/atom
energy of formation: 635.9 meV per atom